Compound: Ac3GePb
Source: the Alexandria database
Functional: PBE
Structure: optimized geometry

- formation energy from the elements (eV/atom) = -0.29
- E (eV/cell) = -22.10
- calculated density (g cm⁻³) = 7.4
- D(E_F) (states/eV per atom) = 0.634

Lattice parameters (Å, degrees): 5.987 5.987 5.987 90.00 90.00 90.00
Sites, in units of the cell vectors:
1 Ac 0.000 0.000 0.500
2 Ac 0.000 0.500 0.000
3 Ac 0.500 0.000 0.000
4 Ge 0.000 0.000 0.000
5 Pb 0.500 0.500 0.500